[1]
{"formula": "Ca2Mo2N5", "functional": "PBE-GGA", "state": "optimized geometry", "formation_energy_uncorrected_kj_per_mol_atoms": -68, "magnetic_moment_mub_per_fu": 0.0, "sg": "C2/m, No. 12", "lattice_angstrom": [[-2.6685, -0.0837, -2.5283], [1.1780, -6.2229, 1.6364], [-3.9479, 1.4305, 4.1196]], "species": ["Mo", "Mo", "N", "N", "N", "N", "N", "Ca", "Ca"], "frac_coords": [[0.8546, 0.7092, 0.1059], [0.1454, 0.2908, 0.8941], [0.8901, 0.7802, 0.4120], [0.6797, 0.3594, 0.0248], [0.3203, 0.6406, 0.9752], [0.0000, 0.0000, 0.0000], [0.1099, 0.2198, 0.5880], [0.4272, 0.8544, 0.6956], [0.5728, 0.1456, 0.3044]]}



[2]
{"formula": "CaMoN2", "functional": "PBE-GGA", "state": "optimized geometry", "formation_energy_uncorrected_kj_per_mol_atoms": 28, "magnetic_moment_mub_per_fu": 1.7, "sg": "Fm-3m, No. 225", "lattice_angstrom": [[0.0000, 2.8135, 2.8135], [2.8135, 0.0000, 2.8135], [2.8135, 2.8135, 0.0000]], "species": ["N", "N", "Mo", "Ca"], "frac_coords": [[0.2500, 0.2500, 0.2500], [0.7500, 0.7500, 0.7500], [0.5000, 0.5000, 0.5000], [0.0000, 0.0000, 0.0000]]}



[3]
{"formula": "Ca2NdMoN4", "functional": "PBE-GGA", "state": "optimized geometry", "formation_energy_uncorrected_kj_per_mol_atoms": -93, "magnetic_moment_mub_per_fu": 0.7, "sg": "Pmn2_1, No. 31", "lattice_angstrom": [[-4.5549, -0.5791, -2.5896], [-2.5843, -3.3205, 5.2882], [-2.5242, 6.6626, 2.9499]], "species": ["N", "N", "N", "N", "N", "N", "N", "N", "Nd", "Nd", "Ca", "Ca", "Ca", "Ca", "Mo", "Mo"], "frac_coords": [[0.8529, 0.8155, 0.5000], [0.4208, 0.6976, 0.2840], [0.4208, 0.6976, 0.7160], [0.3529, 0.1845, 0.0000], [0.9400, 0.8867, 0.0000], [0.9208, 0.3024, 0.2160], [0.9208, 0.3024, 0.7840], [0.4400, 0.1133, 0.5000], [0.4551, 0.8546, 0.0000], [0.9551, 0.1454, 0.5000], [0.4572, 0.3391, 0.7463], [0.9572, 0.6609, 0.7537], [0.4572, 0.3391, 0.2537], [0.9572, 0.6609, 0.2463], [0.9961, 0.1746, 0.0000], [0.4961, 0.8254, 0.5000]]}



| no. | E_tot (eV per atom) |
| --- | --- |
| 1 | -8.18 |
| 2 | -7.08 |
| 3 | -7.58 |